Record 1
VASP calculation (GGA-PBE) on an optimized crystal structure of TiCd2Ga.

Geometry as POSCAR:
```
TiCd2Ga
1.0
7.7252 0.0000 0.0000
0.0000 7.7252 0.0000
3.8626 3.8626 2.7919
Ti Ga Cd
2 2 4
direct
0.5000 0.5000 0.0000
0.2500 0.7500 0.5000
0.0000 0.0000 0.0000
0.7500 0.2500 0.5000
0.6452 0.1250 0.2500
0.1048 0.6250 0.2500
0.3750 0.3548 0.7500
0.8750 0.8952 0.7500
```

Results
Space-group type ... I-42d (122)
Energy relative to the elements ... 0.229 eV/atom
V ... 83 Å³/f.u.

---

Record 2
VASP calculation (GGA-PBE) on an optimized crystal structure of Ti5CdGa3.

Geometry as POSCAR:
```
Ti5CdGa3
1.0
5.4695 0.0000 0.0000
0.0000 6.8806 -3.9726
0.0000 0.0000 7.9449
Ti Cd Ga
10 2 6
direct
0.0000 0.6667 0.3333
0.5000 0.3333 0.6667
0.0000 0.3333 0.6667
0.5000 0.6667 0.3333
0.7500 0.6747 0.6747
0.7500 0.0000 0.3253
0.7500 0.3253 0.0000
0.2500 0.3253 0.3253
0.2500 0.0000 0.6747
0.2500 0.6747 0.0000
0.0000 0.0000 0.0000
0.5000 0.0000 0.0000
0.7500 0.3514 0.3514
0.7500 0.0000 0.6486
0.7500 0.6486 0.0000
0.2500 0.6486 0.6486
0.2500 0.0000 0.3514
0.2500 0.3514 0.0000
```

Results
Space-group type ... P6_3/mcm (193)
Energy relative to the elements ... -0.340 eV/atom
V ... 149 Å³/f.u.

---

Among the records above, which one has the highest V?
Ti5CdGa3